Record 1
# La2Mn17C2 | the Alexandria database | PBE | relaxed
# density of states at the Fermi level	23.31	states/eV/f.u.
# total DFT energy (no corrections)	-8.76	eV per atom
# formation energy	0.1	eV per formula unit
data_La2Mn17C2
_chemical_formula_sum 'La4 Mn34 C4'
_cell_length_a 9.660
_cell_length_b 8.806
_cell_length_c 6.491
_cell_angle_alpha 90.00
_cell_angle_beta 98.35
_cell_angle_gamma 90.00
_symmetry_space_group_name_H-M 'C 1 2/m 1'
_symmetry_Int_Tables_number 12
loop_
_symmetry_equiv_pos_as_xyz
'x,y,z'
'-x,-y,-z'
'-x,y,-z'
'x,-y,z'
'x+1/2,y+1/2,z'
'-x+1/2,-y+1/2,-z'
'-x+1/2,y+1/2,-z'
'x+1/2,-y+1/2,z'
loop_
_atom_site_label
_atom_site_fract_x
_atom_site_fract_y
_atom_site_fract_z
La1 0.139 0.000 0.341
Mn1 0.000 0.235 0.000
Mn2 0.000 0.500 0.500
Mn3 0.096 0.500 0.907
Mn4 0.103 0.268 0.664
Mn5 0.145 0.362 0.281
Mn6 0.157 0.000 0.872
Mn7 0.250 0.250 0.000
C1 0.250 0.250 0.500

Record 2
# LiTe4H4O6F8 | the Alexandria database | PBE | relaxed
# total DFT energy (no corrections)	-4.72	eV per atom
# offset from the most stable computed form	0	kJ/mol of formula units
data_LiTe4H4O6F8
_chemical_formula_sum 'Li1 Te4 H4 O6 F8'
_cell_length_a 5.049
_cell_length_b 6.468
_cell_length_c 11.590
_cell_angle_alpha 93.13
_cell_angle_beta 101.12
_cell_angle_gamma 112.17
_symmetry_space_group_name_H-M 'P 1'
_symmetry_Int_Tables_number 1
loop_
_symmetry_equiv_pos_as_xyz
'x,y,z'
loop_
_atom_site_label
_atom_site_fract_x
_atom_site_fract_y
_atom_site_fract_z
Li1 0.000 0.000 0.000
Te1 0.090 0.022 0.740
Te2 0.193 0.048 0.284
Te3 0.281 0.550 0.036
Te4 0.794 0.526 0.544
H1 0.090 0.526 0.399
H2 0.498 0.613 0.857
H3 0.516 0.125 0.915
H4 0.602 0.999 0.426
O1 0.003 0.632 0.424
O2 0.087 0.736 0.682
O3 0.289 0.166 0.150
O4 0.306 0.020 0.898
O5 0.353 0.479 0.882
O6 0.585 0.130 0.389
F1 0.046 0.357 0.588
F2 0.247 0.763 0.226
F3 0.275 0.371 0.363
F4 0.476 0.166 0.699
F5 0.696 0.803 0.071
F6 0.706 0.813 0.523
F7 0.765 0.837 0.827
F8 0.896 0.262 0.968

Record 3
# Be2AgHg | the Alexandria database | PBE | relaxed
# density of states at the Fermi level	0.82	states/eV/f.u.
# total DFT energy (no corrections)	-2.36	eV per atom
# formation energy	1.2	eV per formula unit
data_Be2AgHg
_chemical_formula_sum 'Be2 Ag1 Hg1'
_cell_length_a 3.028
_cell_length_b 3.028
_cell_length_c 6.110
_cell_angle_alpha 90.00
_cell_angle_beta 90.00
_cell_angle_gamma 90.00
_symmetry_space_group_name_H-M 'P 4 m m'
_symmetry_Int_Tables_number 99
loop_
_symmetry_equiv_pos_as_xyz
'x,y,z'
'-y,x,z'
'-x,-y,z'
'y,-x,z'
'-x,y,z'
'y,x,z'
'x,-y,z'
'-y,-x,z'
loop_
_atom_site_label
_atom_site_fract_x
_atom_site_fract_y
_atom_site_fract_z
Be1 0.000 0.000 0.000
Be2 0.500 0.500 0.172
Ag1 0.500 0.500 0.779
Hg1 0.000 0.000 0.424